# CuNiBiO4 | Alexandria via LeMat-Bulk | GGA+U | relaxed
# Calculated total energy: -144.4 eV per cell
data_CuNiBiO4
_cell_length_a 6.1485
_cell_length_b 6.5858
_cell_length_c 8.7624
_cell_angle_alpha 90.00
_cell_angle_beta 90.00
_cell_angle_gamma 90.00
_space_group_name_H-M_alt 'I m m a'
_space_group_IT_number 74
_space_group_name_Hall '-I 2b 2'
loop_
_atom_site_label
_atom_site_fract_x
_atom_site_fract_y
_atom_site_fract_z
Cu1 0.0000 0.2500 0.1419
Ni1 0.2500 0.2500 0.7500
Bi1 0.0000 0.0000 0.5000
O1 0.0000 0.0267 0.7465
O2 0.2455 0.2500 0.5054